The following is a PBE with a Hubbard U calculation of MgCrNO2 after structural relaxation, from Alexandria via LeMat-Bulk.

CIF file:
```
data_MgCrNO2
_chemical_formula_sum 'Mg1 Cr1 N1 O2'
_space_group_name_H-M_alt 'P 4/m m m'
_space_group_IT_number 123
_space_group_name_Hall '-P 4 2'
_cell_length_a 3.843
_cell_length_b 3.843
_cell_length_c 3.645
_cell_angle_alpha 90.00
_cell_angle_beta 90.00
_cell_angle_gamma 90.00
loop_
_atom_site_label
_atom_site_fract_x
_atom_site_fract_y
_atom_site_fract_z
Mg1 0.000 0.000 0.000
Cr1 0.500 0.500 0.500
N1 0.500 0.500 0.000
O1 0.000 0.500 0.500
```

Values from the calculation:
Its crystal system is tetragonal. Its density is 3.8 Mg/m³. Its total energy is -6.243 eV per atom. For the density of states at the Fermi level, the calculation gives 1.20 states/eV/cell.